## Tc2Ni17 (GGA-PBE)

Data for crystalline Tc2Ni17 at its relaxed geometry.

Unit cell a=8.0298 b=8.0298 c=12.0484 alpha=90.00 beta=90.00 gamma=120.00
With the nearest neighbours (Å) after each atom.
Space group R-3m (No. 166, hexagonal axes)
Unique sites:
Tc: 0.0000 0.0000 0.1777 [6 per cell]  13 Ni 2.69-2.98
Ni: 0.0000 0.0000 0.4006 [6 per cell]  7 Ni 2.39-2.55
Ni: 0.0000 0.3097 0.5000 [18 per cell]  8 Ni 2.37-2.50
Ni: 0.0000 0.5000 0.0000 [9 per cell]  10 Ni 2.35-2.46
Ni: 0.0068 0.5034 0.6540 [18 per cell]  9 Ni 2.29-2.55

Computed properties:
As for the calculated total energy: -6.040 eV/atom. As for the density of states at the Fermi level: 1.536 states/eV/atom. The size of the total moment comes out at 0.80 μB/atom. The value obtained for the volume is 11.8 A^3/atom.